Entry i
A plane-wave DFT calculation with PBE was carried out for a relaxed MgUW crystal.

Geometry as POSCAR:
```
MgUW
1.0
0.0000 3.2538 3.2538
3.2538 0.0000 3.2538
3.2538 3.2538 0.0000
Mg W U
1 1 1
Direct
0.2500 0.2500 0.2500
0.7500 0.7500 0.7500
0.0000 0.0000 0.0000
```

Space-group type: F-43m

***

Entry ii
A plane-wave DFT calculation with PBE was carried out for a relaxed MgUW crystal.

Geometry as POSCAR:
```
MgUW
1.0
-0.0872 -3.5613 2.8524
-2.5229 -3.6676 -1.0054
2.0309 -3.9144 -1.1744
U Mg W
1 1 1
Direct
0.5000 0.5000 0.5000
0.0000 0.0000 0.0000
0.2500 0.2500 0.2500
```

Space-group type: F-43m

***

Which one is most stable, and which one is least stable? entry ii is the most stable of them, while entry i is the least stable.

***

Entry i
A plane-wave DFT calculation with PBE was carried out for a relaxed MgZrU crystal.

Geometry as POSCAR:
```
MgZrU
1.0
4.7465 -0.2990 1.0109
1.6780 -3.6543 2.7333
2.6994 -3.5045 -2.0180
Mg U Zr
1 1 1
Direct
0.0000 0.0000 0.0000
0.2500 0.2500 0.2500
0.7500 0.7500 0.7500
```

Space-group type: F-43m

***

Entry ii
A plane-wave DFT calculation with PBE was carried out for a relaxed MgZrU crystal.

Geometry as POSCAR:
```
MgZrU
1.0
0.8474 -3.9115 -2.8109
-3.3567 -1.4510 -3.2475
0.8260 0.5619 -4.7876
Zr U Mg
1 1 1
Direct
0.7500 0.7500 0.7500
0.0000 0.0000 0.0000
0.2500 0.2500 0.2500
```

Space-group type: F-43m

***

Which one is most stable, and which one is least stable? entry i is the most stable of them, while entry ii is the least stable.

***

Entry i
A plane-wave DFT calculation with PBE was carried out for a relaxed Mg2W crystal.

Geometry as POSCAR:
```
Mg2W
1.0
-2.2002 4.4606 0.8460
-0.2961 -1.9733 9.6349
4.0473 1.8989 0.5133
Mg W
8 4
Direct
0.4925 0.1626 0.0000
0.8409 0.1626 0.5000
0.3409 0.3374 0.5000
0.8409 0.8374 0.5000
0.3409 0.6626 0.5000
0.4925 0.8374 0.0000
0.9925 0.6626 0.0000
0.9925 0.3374 0.0000
0.0260 0.0000 0.0000
0.5262 0.5000 0.0000
0.3071 0.0000 0.5000
0.8073 0.5000 0.5000
```

Space-group type: Cmcm

***

Entry ii
A plane-wave DFT calculation with PBE was carried out for a relaxed Mg2W crystal.

Geometry as POSCAR:
```
Mg2W
1.0
5.4494 0.0000 0.0000
-2.7247 4.7193 0.0000
0.0000 0.0000 8.1800
Mg W
8 4
Direct
0.8243 0.1757 0.7500
0.8243 0.6485 0.7500
0.0000 0.0000 0.5000
0.0000 0.0000 0.0000
0.1757 0.8243 0.2500
0.3515 0.1757 0.7500
0.6485 0.8243 0.2500
0.1757 0.3515 0.2500
0.3333 0.6667 0.9113
0.6667 0.3333 0.0887
0.6667 0.3333 0.4113
0.3333 0.6667 0.5887
```

Space-group type: P6_3/mmc

***

Which one is most stable, and which one is least stable? entry i is the most stable of them, while entry ii is the least stable.